P | The following is a DFT calculation (PBE-GGA) of NbNiBW after structural relaxation.

Lattice parameters (Å, degrees): 6.0017 6.0017 6.0017 90.00 90.00 90.00
Space group F-43m (No. 216)
One atom of each set of equivalent atoms:
Nb (0.0000, 0.0000, 0.0000) x4
Ni (0.0000, 0.0000, 0.5000) x4
B (0.2500, 0.2500, 0.2500) x4
W (0.2500, 0.2500, 0.7500) x4

Summary:
Crystal system: cubic

=====

Q | The following is a DFT calculation (PBE-GGA) of NbNiBW after structural relaxation.

Lattice parameters (Å, degrees): 5.9001 5.9001 5.9001 90.00 90.00 90.00
Space group F-43m (No. 216)
One atom of each set of equivalent atoms:
Nb (0.0000, 0.0000, 0.0000) x4
Ni (0.2500, 0.2500, 0.2500) x4
B (0.2500, 0.2500, 0.7500) x4
W (0.0000, 0.0000, 0.5000) x4

Summary:
Crystal system: cubic

=====

The winner here is Q, beating the second structure by 47.7 kJ/mol of atoms.

=====

P | The following is a DFT calculation (PBE-GGA) of YNbNiB after structural relaxation.

Lattice parameters (Å, degrees): 6.3049 6.3049 6.3049 90.00 90.00 90.00
Space group F-43m (No. 216)
One atom of each set of equivalent atoms:
Y (0.0000, 0.0000, 0.0000) x4
Nb (0.0000, 0.0000, 0.5000) x4
Ni (0.2500, 0.2500, 0.7500) x4
B (0.2500, 0.2500, 0.2500) x4

Summary:
Crystal system: cubic

=====

Q | The following is a DFT calculation (PBE-GGA) of YNbNiB after structural relaxation.

Lattice parameters (Å, degrees): 6.2875 6.2875 6.2875 90.00 90.00 90.00
Space group F-43m (No. 216)
One atom of each set of equivalent atoms:
Y (0.0000, 0.0000, 0.0000) x4
Nb (0.2500, 0.2500, 0.2500) x4
Ni (0.2500, 0.2500, 0.7500) x4
B (0.0000, 0.0000, 0.5000) x4

Summary:
Crystal system: cubic

=====

The winner here is P, beating the second structure by 52.7 kJ/mol of atoms.

=====

P | The following is a DFT calculation (PBE-GGA) of NbBOs after structural relaxation.

Lattice parameters (Å, degrees): 5.7555 5.7555 5.7555 90.00 90.00 90.00
Space group F-43m (No. 216)
One atom of each set of equivalent atoms:
Nb (0.0000, 0.0000, 0.0000) x4
B (0.0000, 0.0000, 0.5000) x4
Os (0.2500, 0.2500, 0.7500) x4

Summary:
Crystal system: cubic

=====

Q | The following is a DFT calculation (PBE-GGA) of NbBOs after structural relaxation.

Lattice parameters (Å, degrees): 5.8014 5.8014 5.8014 90.00 90.00 90.00
Space group F-43m (No. 216)
One atom of each set of equivalent atoms:
Nb (0.0000, 0.0000, 0.0000) x4
B (0.2500, 0.2500, 0.7500) x4
Os (0.2500, 0.2500, 0.2500) x4

Summary:
Crystal system: cubic

=====

R | The following is a DFT calculation (PBE-GGA) of NbBOs after structural relaxation.

Lattice parameters (Å, degrees): 9.1194 15.8574 3.1067 90.00 90.00 90.00
Space group Pbam (No. 55)
One atom of each set of equivalent atoms:
Nb (0.0150, 0.0942, 0.0000) x4
Nb (0.1881, 0.7021, 0.0000) x4
Nb (0.2007, 0.4957, 0.0000) x4
B (0.1048, 0.9978, 0.5000) x4
B (0.1094, 0.3324, 0.0000) x4
B (0.2150, 0.0976, 0.5000) x4
Os (0.0158, 0.5941, 0.5000) x4
Os (0.0601, 0.2350, 0.5000) x4
Os (0.2200, 0.8550, 0.5000) x4

Summary:
Crystal system: orthorhombic

=====

The winner here is R, beating the second structure by 117.9 kJ/mol of atoms.

=====

P | The following is a DFT calculation (PBE-GGA) of NbB4Os after structural relaxation.

Lattice parameters (Å, degrees): 3.0238 5.1833 6.9967 90.00 90.00 90.00
Space group Immm (No. 71)
One atom of each set of equivalent atoms:
Nb (0.0000, 0.0000, 0.0000) x2
B (0.0000, 0.3291, 0.2558) x8
Os (0.0000, 0.0000, 0.5000) x2

Summary:
Crystal system: orthorhombic

=====

Q | The following is a DFT calculation (PBE-GGA) of NbB4Os after structural relaxation.

Lattice parameters (Å, degrees): 3.0693 3.0693 6.6831 90.00 90.00 120.00
Space group P6/mmm (No. 191)
One atom of each set of equivalent atoms:
Nb (0.0000, 0.0000, 0.0000) x1
B (0.3333, 0.6667, 0.2536) x4
Os (0.0000, 0.0000, 0.5000) x1

Summary:
Crystal system: hexagonal

=====

The winner here is P, beating the second structure by 1.7 kJ/mol of atoms.

=====

P | The following is a DFT calculation (PBE-GGA) of NbB4Pb after structural relaxation.

Lattice parameters (Å, degrees): 3.0916 3.0916 8.8115 90.00 90.00 120.00
Space group P6/mmm (No. 191)
One atom of each set of equivalent atoms:
Nb (0.0000, 0.0000, 0.0000) x1
B (0.3333, 0.6667, 0.1877) x4
Pb (0.0000, 0.0000, 0.5000) x1

Summary:
Crystal system: hexagonal

=====

Q | The following is a DFT calculation (PBE-GGA) of NbB4Pb after structural relaxation.

Lattice parameters (Å, degrees): 3.1042 5.5250 7.7697 90.00 90.00 90.00
Space group Immm (No. 71)
One atom of each set of equivalent atoms:
Nb (0.0000, 0.0000, 0.0000) x2
B (0.0000, 0.3363, 0.2543) x8
Pb (0.0000, 0.0000, 0.5000) x2

Summary:
Crystal system: orthorhombic

=====

The winner here is P, beating the second structure by 38.1 kJ/mol of atoms.

=====

P | The following is a DFT calculation (PBE-GGA) of PuNbB after structural relaxation.

Lattice parameters (Å, degrees): 5.8852 5.8852 5.8852 90.00 90.00 90.00
Space group F-43m (No. 216)
One atom of each set of equivalent atoms:
Pu (0.0000, 0.0000, 0.0000) x4
Nb (0.0000, 0.0000, 0.5000) x4
B (0.2500, 0.2500, 0.7500) x4

Summary:
Crystal system: cubic

=====

Q | The following is a DFT calculation (PBE-GGA) of PuNbB after structural relaxation.

Lattice parameters (Å, degrees): 5.8940 5.8940 5.8940 90.00 90.00 90.00
Space group F-43m (No. 216)
One atom of each set of equivalent atoms:
Pu (0.0000, 0.0000, 0.0000) x4
Nb (0.2500, 0.2500, 0.7500) x4
B (0.2500, 0.2500, 0.2500) x4

Summary:
Crystal system: cubic

=====

The winner here is P, beating the second structure by 99.4 kJ/mol of atoms.

=====

P | The following is a DFT calculation (PBE-GGA) of Nb2B2Sb after structural relaxation.

Lattice parameters (Å, degrees): 3.0477 14.5345 3.2766 90.00 90.00 90.00
Space group Pbam (No. 55)
One atom of each set of equivalent atoms:
Nb (0.2316, 0.1589, 0.0000) x4
B (0.2344, 0.2792, 0.5000) x4
Sb (0.0000, 0.5000, 0.5000) x2

Summary:
Crystal system: orthorhombic

=====

Q | The following is a DFT calculation (PBE-GGA) of Nb2B2Sb after structural relaxation.

Lattice parameters (Å, degrees): 3.0594 14.1397 3.2528 90.00 90.00 90.00
Space group Cmmm (No. 65)
One atom of each set of equivalent atoms:
Nb (0.0000, 0.1539, 0.0000) x4
B (0.0000, 0.2783, 0.5000) x4
Sb (0.0000, 0.5000, 0.5000) x2

Summary:
Crystal system: orthorhombic

=====

The winner here is P, beating the second structure by 4.7 kJ/mol of atoms.

=====

P | The following is a DFT calculation (PBE-GGA) of SmNbB after structural relaxation.

Lattice parameters (Å, degrees): 6.4426 6.4426 6.4426 90.00 90.00 90.00
Space group F-43m (No. 216)
One atom of each set of equivalent atoms:
Sm (0.0000, 0.0000, 0.0000) x4
Nb (0.2500, 0.2500, 0.2500) x4
B (0.2500, 0.2500, 0.7500) x4

Summary:
Crystal system: cubic

=====

Q | The following is a DFT calculation (PBE-GGA) of SmNbB after structural relaxation.

Lattice parameters (Å, degrees): 6.0582 6.0582 6.0582 90.00 90.00 90.00
Space group F-43m (No. 216)
One atom of each set of equivalent atoms:
Sm (0.0000, 0.0000, 0.0000) x4
Nb (0.0000, 0.0000, 0.5000) x4
B (0.2500, 0.2500, 0.7500) x4

Summary:
Crystal system: cubic

=====

The winner here is Q, beating the second structure by 138.2 kJ/mol of atoms.

=====

P | The following is a DFT calculation (PBE-GGA) of SrNbB after structural relaxation.

Lattice parameters (Å, degrees): 6.5452 6.5452 6.5452 90.00 90.00 90.00
Space group F-43m (No. 216)
One atom of each set of equivalent atoms:
Sr (0.0000, 0.0000, 0.0000) x4
Nb (0.2500, 0.2500, 0.2500) x4
B (0.2500, 0.2500, 0.7500) x4

Summary:
Crystal system: cubic

=====

Q | The following is a DFT calculation (PBE-GGA) of SrNbB after structural relaxation.

Lattice parameters (Å, degrees): 6.2837 6.2837 6.2837 90.00 90.00 90.00
Space group F-43m (No. 216)
One atom of each set of equivalent atoms:
Sr (0.0000, 0.0000, 0.0000) x4
Nb (0.0000, 0.0000, 0.5000) x4
B (0.2500, 0.2500, 0.7500) x4

Summary:
Crystal system: cubic

=====

The winner here is Q, beating the second structure by 121.0 kJ/mol of atoms.

=====

P | The following is a DFT calculation (PBE-GGA) of TmNbB after structural relaxation.

Lattice parameters (Å, degrees): 5.9187 5.9187 5.9187 90.00 90.00 90.00
Space group F-43m (No. 216)
One atom of each set of equivalent atoms:
Tm (0.0000, 0.0000, 0.0000) x4
Nb (0.0000, 0.0000, 0.5000) x4
B (0.2500, 0.2500, 0.7500) x4

Summary:
Crystal system: cubic

=====

Q | The following is a DFT calculation (PBE-GGA) of TmNbB after structural relaxation.

Lattice parameters (Å, degrees): 6.2935 6.2935 6.2935 90.00 90.00 90.00
Space group F-43m (No. 216)
One atom of each set of equivalent atoms:
Tm (0.0000, 0.0000, 0.0000) x4
Nb (0.2500, 0.2500, 0.2500) x4
B (0.2500, 0.2500, 0.7500) x4

Summary:
Crystal system: cubic

=====

The winner here is P, beating the second structure by 145.4 kJ/mol of atoms.

=====

P | The following is a DFT calculation (PBE-GGA) of Nd2B2O5 after structural relaxation.

Lattice parameters (Å, degrees): 3.6275 3.6275 6.9203 90.00 90.00 90.00
Space group P4/mmm (No. 123)
One atom of each set of equivalent atoms:
Nd (0.0000, 0.0000, 0.0000) x1
Nd (0.0000, 0.0000, 0.5000) x1
B (0.5000, 0.5000, 0.2230) x2
O (0.0000, 0.5000, 0.2495) x4
O (0.5000, 0.5000, 0.0000) x1

Summary:
Crystal system: tetragonal

=====

Q | The following is a DFT calculation (PBE-GGA) of Nd2B2O5 after structural relaxation.

Lattice parameters (Å, degrees): 3.6677 3.6677 9.2887 90.00 90.00 90.00
Space group P4/mmm (No. 123)
One atom of each set of equivalent atoms:
Nd (0.0000, 0.0000, 0.2457) x2
B (0.5000, 0.5000, 0.0000) x1
B (0.5000, 0.5000, 0.5000) x1
O (0.0000, 0.0000, 0.0000) x1
O (0.0000, 0.5000, 0.3830) x4

Summary:
Crystal system: tetragonal

=====

The winner here is P, beating the second structure by 121.9 kJ/mol of atoms.

=====

P | The following is a DFT calculation (PBE-GGA) of NdBPO after structural relaxation.

Lattice parameters (Å, degrees): 6.0842 6.0842 4.3417 90.00 90.00 90.00
Space group P4/nmm (No. 129, origin choice 2)
One atom of each set of equivalent atoms:
Nd (0.2500, 0.7500, 0.0000) x2
B (0.2500, 0.2500, 0.2783) x2
P (0.2500, 0.2500, 0.8528) x2
O (0.2500, 0.7500, 0.5000) x2

Summary:
Crystal system: tetragonal

=====

Q | The following is a DFT calculation (PBE-GGA) of NdBPO after structural relaxation.

Lattice parameters (Å, degrees): 4.8838 4.8838 5.0540 90.00 90.00 90.00
Space group P4/nmm (No. 129, origin choice 2)
One atom of each set of equivalent atoms:
Nd (0.2500, 0.7500, 0.0000) x2
B (0.2500, 0.2500, 0.3412) x2
P (0.2500, 0.2500, 0.7032) x2
O (0.2500, 0.7500, 0.5000) x2

Summary:
Crystal system: tetragonal

=====

R | The following is a DFT calculation (PBE-GGA) of NdBPO after structural relaxation.

Lattice parameters (Å, degrees): 3.9661 3.9661 7.3907 90.00 90.00 90.00
Space group P4/nmm (No. 129, origin choice 2)
One atom of each set of equivalent atoms:
Nd (0.2500, 0.2500, 0.1650) x2
B (0.2500, 0.7500, 0.5000) x2
P (0.2500, 0.2500, 0.5944) x2
O (0.2500, 0.7500, 0.0000) x2

Summary:
Crystal system: tetragonal

=====

The winner here is R, beating the second structure by 86.2 kJ/mol of atoms.